Material: BaInS2Cl
Method: DFT, GGA-PBE
State: relaxed

Calculated values
Total moment (μB/cell): 0.0
Distance to the lowest polymorph of the same formula (kJ per mole of atoms): 0.0

```
data_BaInS2Cl
_chemical_formula_sum 'Ba1 In1 S2 Cl1'
_cell_length_a 5.1108
_cell_length_b 5.1108
_cell_length_c 5.1943
_cell_angle_alpha 90.00
_cell_angle_beta 90.00
_cell_angle_gamma 90.00
_space_group_name_H-M_alt 'P 4/m m m'
_space_group_IT_number 123
_space_group_name_Hall '-P 4 2'
loop_
_atom_site_label
_atom_site_fract_x
_atom_site_fract_y
_atom_site_fract_z
Ba1 0.0000 0.0000 0.0000
In1 0.5000 0.5000 0.5000
S1 0.0000 0.5000 0.5000
Cl1 0.5000 0.5000 0.0000
```